No. 1
{"formula": "Nb5VTc4", "functional": "GGA-PBE", "state": "optimized geometry", "final_energy_ev_per_atom": -10.38, "ef_kcal_per_mol_atoms": -6.7, "volume_a3_per_atom": 16.3, "magmom_total_mub_per_fu": 0.0, "cell": [[3.1869, 0.0000, 0.0000], [0.0000, 3.1869, 0.0000], [0.0000, 0.0000, 16.0005]], "species": ["V", "Nb", "Nb", "Nb", "Nb", "Nb", "Tc", "Tc", "Tc", "Tc"], "frac_coords": [[0.0000, 0.0000, 0.0000], [0.5000, 0.5000, 0.7004], [0.5000, 0.5000, 0.2996], [0.5000, 0.5000, 0.5000], [0.5000, 0.5000, 0.0999], [0.5000, 0.5000, 0.9001], [0.0000, 0.0000, 0.6001], [0.0000, 0.0000, 0.8001], [0.0000, 0.0000, 0.3999], [0.0000, 0.0000, 0.1999]]}

---

No. 2
{"formula": "Nd5Bi4Ir", "functional": "GGA-PBE", "state": "optimized geometry", "final_energy_ev_per_atom": -5.59, "ef_kcal_per_mol_atoms": -17.7, "volume_a3_per_atom": 33.0, "magmom_total_mub_per_fu": 0.0, "cell": [[-5.4796, -2.3775, 2.5187], [-2.8951, -6.2021, -3.8110], [1.0677, -5.5351, 5.4401]], "species": ["Ir", "Bi", "Bi", "Bi", "Bi", "Nd", "Nd", "Nd", "Nd", "Nd"], "frac_coords": [[0.9777, 0.0000, 0.0000], [0.2153, 0.2096, 0.3912], [0.8161, 0.7904, 0.6088], [0.6065, 0.6088, 0.2096], [0.4249, 0.3912, 0.7904], [0.1104, 0.6253, 0.1835], [0.4106, 0.0000, 0.0000], [0.2939, 0.8165, 0.6253], [0.7357, 0.1835, 0.3747], [0.9192, 0.3747, 0.8165]]}